(1)
DFT (GGA-PBE) results for a relaxed structure of Li2HgSeS.

Summary:
* polymorph energy (0 for the lowest one): 1.48 eV per formula unit
* calculated volume: 115.7 Å³/cell
* raw formation energy: -0.4192 eV/atom

Cell: 4.668 4.668 5.309 Å, 90.00 90.00 90.00°
Space group P4/mmm (No. 123)
Unique sites:
Li: 0.000 0.500 0.000 [2 per cell]
Hg: 0.000 0.000 0.500 [1 per cell]
Se: 0.000 0.000 0.000 [1 per cell]
S: 0.500 0.500 0.500 [1 per cell]

(2)
DFT (GGA-PBE) results for a relaxed structure of CeY2Cu9.

Summary:
* E: -4.795 eV/atom
* calculated volume: 391.4 Å³/cell

Cell: 5.2397 5.2397 16.4606 Å, 90.00 90.00 120.00°
Space group P6_3/mmc (No. 194)
Unique sites:
Ce: 0.3333 0.6667 0.2500 [2 per cell]
Y: 0.3333 0.6667 0.0355 [4 per cell]
Cu: 0.0000 0.0000 0.0000 [2 per cell]
Cu: 0.0000 0.0000 0.2500 [2 per cell]
Cu: 0.1667 0.3334 0.6264 [12 per cell]
Cu: 0.3333 0.6667 0.7500 [2 per cell]

(3)
DFT (GGA-PBE) results for a relaxed structure of HoInAgAu.

Summary:
* E: -3.904 eV/atom
* calculated volume: 338.2 Å³/cell

Cell: 6.967 6.967 6.967 Å, 90.00 90.00 90.00°
Space group F-43m (No. 216)
Unique sites:
Ho: 0.000 0.000 0.000 [4 per cell]
In: 0.000 0.000 0.500 [4 per cell]
Ag: 0.250 0.250 0.750 [4 per cell]
Au: 0.250 0.250 0.250 [4 per cell]

(4)
DFT (GGA-PBE) results for a relaxed structure of NbFeMo2.

Summary:
* polymorph energy (0 for the lowest one): 0.04 eV per formula unit
* calculated volume: 241.9 Å³/cell

Cell: 6.231 6.231 6.231 Å, 90.00 90.00 90.00°
Space group Fm-3m (No. 225)
Unique sites:
Nb: 0.000 0.000 0.000 [4 per cell]
Fe: 0.000 0.000 0.500 [4 per cell]
Mo: 0.250 0.250 0.250 [8 per cell]

(5)
DFT (GGA-PBE) results for a relaxed structure of Tb2Ho6ErTm.

Summary:
* E: -4.457 eV/atom
* calculated volume: 1251.1 Å³/cell

Cell: 8.938 14.879 9.507 Å, 90.00 98.31 90.00°
Space group C2/c (No. 15)
Unique sites:
Tb: 0.247 0.052 0.043 [8 per cell]
Ho: 0.063 0.187 0.444 [8 per cell]
Ho: 0.104 0.394 0.620 [8 per cell]
Ho: 0.204 0.223 0.814 [8 per cell]
Er: 0.000 0.408 0.250 [4 per cell]
Tm: 0.000 0.021 0.750 [4 per cell]

(6)
DFT (GGA-PBE) results for a relaxed structure of PmPrPtRh.

Summary:
* polymorph energy (0 for the lowest one): 0.00 eV per formula unit
* calculated volume: 190.0 Å³/cell

Cell: 4.454 3.921 10.881 Å, 90.00 90.00 90.00°
Space group Amm2 (No. 38)
Unique sites:
Pm: 0.000 0.000 0.000 [2 per cell]
Pr: 0.500 0.000 0.279 [2 per cell]
Pt: 0.000 0.000 0.721 [2 per cell]
Rh: 0.500 0.000 0.547 [2 per cell]

(7)
DFT (GGA-PBE) results for a relaxed structure of K2Rb2Pb3.

Summary:
* E: -2.292 eV/atom
* calculated volume: 651.3 Å³/cell

Cell: 13.895 6.262 9.162 Å, 90.00 125.21 90.00°
Space group C2/m (No. 12)
Unique sites:
K: 0.149 0.000 0.002 [4 per cell]
Rb: 0.177 0.000 0.560 [4 per cell]
Pb: 0.000 0.500 0.000 [2 per cell]
Pb: 0.025 0.500 0.686 [4 per cell]

(8)
DFT (GGA-PBE) results for a relaxed structure of Dy2HoPt.

Summary:
* polymorph energy (0 for the lowest one): 0.93 eV per formula unit
* calculated volume: 349.6 Å³/cell

Cell: 3.7633 3.7633 28.5003 Å, 90.00 90.00 120.00°
Space group R-3m (No. 166, hexagonal axes)
Unique sites:
Dy: 0.0000 0.0000 0.2298 [6 per cell]
Ho: 0.0000 0.0000 0.0000 [3 per cell]
Pt: 0.0000 0.0000 0.5000 [3 per cell]

(9)
DFT (GGA-PBE) results for a relaxed structure of Ce5Cd2Hg.

Summary:
* E: -4.082 eV/atom
* calculated volume: 426.1 Å³/cell

Cell: 4.660 4.660 19.627 Å, 90.00 90.00 90.00°
Space group I4/mmm (No. 139)
Unique sites:
Ce: 0.000 0.000 0.000 [2 per cell]
Ce: 0.000 0.500 0.126 [8 per cell]
Cd: 0.000 0.000 0.250 [4 per cell]
Hg: 0.000 0.000 0.500 [2 per cell]

(10)
DFT (GGA-PBE) results for a relaxed structure of Y2VWI.

Summary:
* calculated volume: 156.6 Å³/cell
* raw formation energy: 1.2018 eV/atom

Cell: 5.507 5.507 5.163 Å, 90.00 90.00 90.00°
Space group P4/mmm (No. 123)
Unique sites:
Y: 0.000 0.500 0.000 [2 per cell]
V: 0.000 0.000 0.500 [1 per cell]
W: 0.500 0.500 0.000 [1 per cell]
I: 0.500 0.500 0.500 [1 per cell]

(11)
DFT (GGA-PBE) results for a relaxed structure of BaSmHo2.

Summary:
* polymorph energy (0 for the lowest one): 0.00 eV per formula unit
* calculated volume: 148.2 Å³/cell

Cell: 3.706 3.706 10.788 Å, 90.00 90.00 90.00°
Space group P4/mmm (No. 123)
Unique sites:
Ba: 0.000 0.000 0.000 [1 per cell]
Sm: 0.000 0.000 0.500 [1 per cell]
Ho: 0.500 0.500 0.282 [2 per cell]

(12)
DFT (GGA-PBE) results for a relaxed structure of Ac2Zn4AgGe3.

Summary:
* E: -3.423 eV/atom
* calculated volume: 213.4 Å³/cell

Cell: 4.479 4.479 10.637 Å, 90.00 90.00 90.00°
Space group P-4m2 (No. 115)
Unique sites:
Ac: 0.000 0.500 0.246 [2 per cell]
Zn: 0.000 0.000 0.000 [1 per cell]
Zn: 0.000 0.500 0.630 [2 per cell]
Zn: 0.500 0.500 0.000 [1 per cell]
Ag: 0.000 0.000 0.500 [1 per cell]
Ge: 0.000 0.500 0.868 [2 per cell]
Ge: 0.500 0.500 0.500 [1 per cell]

(13)
DFT (GGA-PBE) results for a relaxed structure of CuAsPb2.

Summary:
* E: -3.902 eV/atom
* calculated volume: 95.9 Å³/cell

Cell: 3.464 3.464 7.993 Å, 90.00 90.00 90.00°
Space group P4mm (No. 99)
Unique sites:
Cu: 0.000 0.000 0.000 [1 per cell]
As: 0.500 0.500 0.897 [1 per cell]
Pb: 0.000 0.000 0.616 [1 per cell]
Pb: 0.500 0.500 0.272 [1 per cell]

(14)
DFT (GGA-PBE) results for a relaxed structure of GdLuIr2.

Summary:
* polymorph energy (0 for the lowest one): 0.04 eV per formula unit
* calculated volume: 316.8 Å³/cell

Cell: 6.817 6.817 6.817 Å, 90.00 90.00 90.00°
Space group Fm-3m (No. 225)
Unique sites:
Gd: 0.000 0.000 0.000 [4 per cell]
Lu: 0.000 0.000 0.500 [4 per cell]
Ir: 0.250 0.250 0.250 [8 per cell]

(15)
DFT (GGA-PBE) results for a relaxed structure of YHfTcSb2.

Summary:
* calculated volume: 164.0 Å³/cell
* raw formation energy: 1.6071 eV/atom

Cell: 5.551 5.551 5.324 Å, 90.00 90.00 90.00°
Space group P4/mmm (No. 123)
Unique sites:
Y: 0.000 0.000 0.000 [1 per cell]
Hf: 0.000 0.000 0.500 [1 per cell]
Tc: 0.500 0.500 0.500 [1 per cell]
Sb: 0.000 0.500 0.000 [2 per cell]

(16)
DFT (GGA-PBE) results for a relaxed structure of Cs3GaRe.

Summary:
* polymorph energy (0 for the lowest one): 0.00 eV per formula unit
* calculated volume: 346.7 Å³/cell

Cell: 7.025 7.025 7.025 Å, 90.00 90.00 90.00°
Space group Pm-3m (No. 221)
Unique sites:
Cs: 0.000 0.000 0.500 [3 per cell]
Ga: 0.000 0.000 0.000 [1 per cell]
Re: 0.500 0.500 0.500 [1 per cell]

(17)
DFT (GGA-PBE) results for a relaxed structure of CeTl3Sn2Se6.

Summary:
* calculated volume: 721.7 Å³/cell
* raw formation energy: -0.7267 eV/atom

Cell: 7.433 12.862 7.935 Å, 90.00 107.95 90.00°
Space group C2/m (No. 12)
Unique sites:
Ce: 0.000 0.000 0.000 [2 per cell]
Tl: 0.000 0.168 0.500 [4 per cell]
Tl: 0.000 0.500 0.500 [2 per cell]
Sn: 0.000 0.334 0.000 [4 per cell]
Se: 0.232 0.163 0.209 [8 per cell]
Se: 0.244 0.500 0.210 [4 per cell]

(18)
DFT (GGA-PBE) results for a relaxed structure of FePtSe4.

Summary:
* polymorph energy (0 for the lowest one): 0.00 eV per formula unit
* calculated volume: 246.0 Å³/cell
* raw formation energy: -0.2894 eV/atom

Cell: 12.337 3.641 6.402 Å, 90.00 121.18 90.00°
Space group C2/m (No. 12)
Unique sites:
Fe: 0.000 0.000 0.000 [2 per cell]
Pt: 0.000 0.500 0.500 [2 per cell]
Se: 0.121 0.500 0.277 [4 per cell]
Se: 0.123 0.000 0.805 [4 per cell]

(19)
DFT (GGA-PBE) results for a relaxed structure of LiTiAu.

Summary:
* polymorph energy (0 for the lowest one): 0.00 eV per formula unit
* calculated volume: 95.8 Å³/cell

Cell: 3.332 3.332 8.634 Å, 90.00 90.00 90.00°
Space group I4mm (No. 107)
Unique sites:
Li: 0.000 0.000 0.000 [2 per cell]
Ti: 0.000 0.000 0.323 [2 per cell]
Au: 0.000 0.000 0.652 [2 per cell]

(20)
DFT (GGA-PBE) results for a relaxed structure of Mn3GeBr.

Summary:
* polymorph energy (0 for the lowest one): 0.00 eV per formula unit
* calculated volume: 131.4 Å³/cell
* raw formation energy: 0.6708 eV/atom

Cell: 5.084 5.084 5.084 Å, 90.00 90.00 90.00°
Space group Pm-3m (No. 221)
Unique sites:
Mn: 0.000 0.000 0.500 [3 per cell]
Ge: 0.000 0.000 0.000 [1 per cell]
Br: 0.500 0.500 0.500 [1 per cell]

(21)
DFT (GGA-PBE) results for a relaxed structure of Ca3Ac4Tl4.

Summary:
* E: -3.131 eV/atom
* calculated volume: 804.2 Å³/cell

Cell: 3.906 10.145 20.293 Å, 90.00 90.00 90.00°
Space group Immm (No. 71)
Unique sites:
Ca: 0.000 0.000 0.000 [2 per cell]
Ca: 0.000 0.500 0.093 [4 per cell]
Ac: 0.000 0.320 0.336 [8 per cell]
Tl: 0.000 0.000 0.277 [4 per cell]
Tl: 0.000 0.215 0.500 [4 per cell]

(22)
DFT (GGA-PBE) results for a relaxed structure of Mg3Pd2Au3.

Summary:
* E: -3.701 eV/atom
* calculated volume: 135.7 Å³/cell

Cell: 4.183 4.201 7.721 Å, 90.00 90.00 90.00°
Space group Pmmm (No. 47)
Unique sites:
Mg: 0.000 0.000 0.000 [1 per cell]
Mg: 0.000 0.000 0.500 [1 per cell]
Mg: 0.500 0.500 0.000 [1 per cell]
Pd: 0.500 0.000 0.239 [2 per cell]
Au: 0.000 0.500 0.241 [2 per cell]
Au: 0.500 0.500 0.500 [1 per cell]

(23)
DFT (GGA-PBE) results for a relaxed structure of PrMnTlBr6.

Summary:
* calculated volume: 673.8 Å³/cell
* raw formation energy: -1.2865 eV/atom

Cell: 7.3226 7.3226 14.5096 Å, 90.00 90.00 120.00°
Space group P-31c (No. 163)
Unique sites:
Pr: 0.3333 0.6667 0.2500 [2 per cell]
Mn: 0.3333 0.6667 0.7500 [2 per cell]
Tl: 0.0000 0.0000 0.0000 [2 per cell]
Br: 0.0229 0.3817 0.6392 [12 per cell]

(24)
DFT (GGA-PBE) results for a relaxed structure of CaLaHg3.

Summary:
* polymorph energy (0 for the lowest one): 2.77 eV per formula unit
* calculated volume: 167.6 Å³/cell

Cell: 5.513 5.513 5.513 Å, 90.00 90.00 90.00°
Space group Pm-3m (No. 221)
Unique sites:
Ca: 0.000 0.000 0.000 [1 per cell]
La: 0.500 0.500 0.500 [1 per cell]
Hg: 0.000 0.000 0.500 [3 per cell]